Compound: TcOsSeBr2
Source: Alexandria
Functional: PBE-GGA
Structure: relaxed

The structure in POSCAR format:
```
TcOsSeBr2
1.0
5.140 0.000 0.000
0.000 5.140 0.000
0.000 0.000 4.783
Tc Os Se Br
1 1 1 2
direct
0.000 0.000 0.000
0.500 0.500 0.500
0.000 0.000 0.500
0.000 0.500 0.000
0.500 0.000 0.000
```

Properties
- calculated density (kg/m3) = 6924
- ΔE to the lowest computed polymorph (eV per atom) = 0.2358
- raw formation energy (eV per atom) = 1.413
- raw total energy (Ha/atom) = -0.1570
- space-group type = P4/mmm (123)